[1]
## TlIn4Bi (PBE-GGA)

Data for an optimized crystal structure of TlIn4Bi.

- energy relative to the lowest polymorph listed for this composition (kJ/mol of formula units) = 14
- volume (Å³/f.u.) = 177.2
- ΔE_f (meV per atom) = 48
- magnetization (Bohr magnetons per cell) = 0.00
- total energy (eV per atom) = -2.819

Cell lengths 6.211, 6.372, 9.465 Å; angles 71.07, 89.47, 89.51 degrees
Element x y z (fractional)
Tl: 0.249 0.108 0.496
Tl: 0.751 0.892 0.504
In: 0.037 0.021 0.832
In: 0.130 0.534 0.660
In: 0.373 0.702 0.339
In: 0.464 0.358 0.166
In: 0.536 0.642 0.834
In: 0.627 0.298 0.661
In: 0.870 0.466 0.340
In: 0.963 0.979 0.168
Bi: 0.000 0.500 0.000
Bi: 0.500 0.000 0.000

=====

[2]
## Tl2In9Bi4 (PBE-GGA)

Data for an optimized crystal structure of Tl2In9Bi4.

- volume (Å³/f.u.) = 468.0
- ΔE_f (meV per atom) = 33
- magnetization (Bohr magnetons per cell) = 0.00
- total energy (eV per atom) = -2.961

Cell lengths 5.392, 5.392, 18.587 Å; angles 90.00, 90.00, 120.00 degrees
Element x y z (fractional)
Tl: 0.333 0.667 0.253
Tl: 0.667 0.333 0.747
In: 0.000 0.000 0.000
In: 0.000 0.000 0.185
In: 0.000 0.000 0.354
In: 0.000 0.000 0.646
In: 0.000 0.000 0.815
In: 0.333 0.667 0.053
In: 0.333 0.667 0.444
In: 0.667 0.333 0.556
In: 0.667 0.333 0.947
Bi: 0.333 0.667 0.613
Bi: 0.333 0.667 0.871
Bi: 0.667 0.333 0.129
Bi: 0.667 0.333 0.387

=====

[3]
## Tl12InBi6 (PBE-GGA)

Data for an optimized crystal structure of Tl12InBi6.

- volume (Å³/f.u.) = 624.5
- ΔE_f (meV per atom) = 21
- magnetization (Bohr magnetons per cell) = 0.00
- total energy (eV per atom) = -2.843

Cell lengths 8.548, 8.548, 8.548 Å; angles 89.92, 89.92, 89.92 degrees
Element x y z (fractional)
Tl: 0.019 0.306 0.930
Tl: 0.070 0.981 0.694
Tl: 0.124 0.352 0.447
Tl: 0.306 0.930 0.019
Tl: 0.352 0.447 0.124
Tl: 0.447 0.124 0.352
Tl: 0.553 0.876 0.648
Tl: 0.648 0.553 0.876
Tl: 0.694 0.070 0.981
Tl: 0.876 0.648 0.553
Tl: 0.930 0.019 0.306
Tl: 0.981 0.694 0.070
In: 0.500 0.500 0.500
Bi: 0.229 0.754 0.389
Bi: 0.246 0.611 0.771
Bi: 0.389 0.229 0.754
Bi: 0.611 0.771 0.246
Bi: 0.754 0.389 0.229
Bi: 0.771 0.246 0.611